The following is a DFT calculation (PBE-GGA) of a relaxed BaLa2Tm crystal.

a = 3.8371 Å, b = 3.8371 Å, c = 10.8094 Å
α = 90.00°, β = 90.00°, γ = 90.00°
Last column: nearest neighbours and their distance in Å.
Space group P4/mmm (No. 123)
Asymmetric unit:
Ba (0.0000, 0.0000, 0.0000) x1  4 Ba 3.84, 8 La 4.12
La (0.5000, 0.5000, 0.2867) x2  4 Tm 3.56, 4 La 3.84
Tm (0.0000, 0.0000, 0.5000) x1  8 La 3.56, 4 Tm 3.84

Computed properties:
**Excess energy over the best structure of this formula in the dataset**: 0 meV per atom
**Formation enthalpy at 0 K**: 0.1088 eV/atom
**Raw total energy**: -3.954 eV per atom